An optimized crystal structure of SrRh2, computed with PBE-GGA.

Values from the calculation:
The formation energy comes out at -0.09 eV/atom. Its density of states at the Fermi level is 1.406 states/eV per atom.

```
SrRh2
1.0
-2.563 2.563 5.029
2.563 -2.563 5.029
2.563 2.563 -5.029
Sr Rh
2 4
Direct
0.250 0.250 0.000
0.750 0.750 0.000
0.177 0.677 0.854
0.323 0.177 0.500
0.677 0.823 0.500
0.823 0.323 0.146
```

=====

An optimized crystal structure of Pm2GaCu, computed with PBE-GGA.

Values from the calculation:
The formation energy comes out at -0.35 eV/atom. Its density of states at the Fermi level is 0.721 states/eV per atom.

```
Pm2GaCu
1.0
5.124 0.000 0.000
0.000 3.613 0.000
0.000 0.000 10.240
Pm Ga Cu
4 2 2
Direct
0.250 0.000 0.119
0.250 0.000 0.622
0.750 0.000 0.378
0.750 0.000 0.881
0.250 0.500 0.364
0.750 0.500 0.636
0.250 0.500 0.858
0.750 0.500 0.142
```

=====

An optimized crystal structure of LaCdH3, computed with PBE-GGA.

Values from the calculation:
Its density of states at the Fermi level is 0.606 states/eV per atom. The calculation puts the energy above the lowest structure with this stoichiometry at 90 meV per atom.

```
LaCdH3
1.0
4.041 0.000 0.000
0.000 4.041 0.000
0.000 0.000 4.041
La Cd H
1 1 3
Direct
0.000 0.000 0.000
0.500 0.500 0.500
0.000 0.500 0.500
0.500 0.000 0.500
0.500 0.500 0.000
```

=====

An optimized crystal structure of La2ScGa12Ni3, computed with PBE-GGA.

Values from the calculation:
The formation energy comes out at -0.11 eV/atom. Its density of states at the Fermi level is 0.625 states/eV per atom.

```
La2ScGa12Ni3
1.0
4.260 2.459 6.190
-4.260 2.459 6.190
0.000 -4.919 6.190
La Sc Ga Ni
2 1 12 3
Direct
0.082 0.082 0.082
0.918 0.918 0.918
0.500 0.500 0.500
0.045 0.662 0.662
0.230 0.230 0.614
0.230 0.614 0.230
0.338 0.338 0.955
0.338 0.955 0.338
0.386 0.770 0.770
0.614 0.230 0.230
0.662 0.045 0.662
0.662 0.662 0.045
0.770 0.386 0.770
0.770 0.770 0.386
0.955 0.338 0.338
0.000 0.500 0.500
0.500 0.000 0.500
0.500 0.500 0.000
```

=====

An optimized crystal structure of PmAl3CuAu, computed with PBE-GGA.

Values from the calculation:
The formation energy comes out at -0.32 eV/atom. Its density of states at the Fermi level is 0.383 states/eV per atom.

```
PmAl3CuAu
1.0
3.105 -6.195 0.000
3.105 6.195 0.000
0.000 0.000 5.985
Pm Al Cu Au
2 6 2 2
Direct
0.214 0.786 0.750
0.786 0.214 0.250
0.213 0.213 0.000
0.213 0.213 0.500
0.362 0.638 0.250
0.638 0.362 0.750
0.787 0.787 0.000
0.787 0.787 0.500
0.434 0.566 0.750
0.566 0.434 0.250
0.152 0.848 0.250
0.848 0.152 0.750
```

=====

An optimized crystal structure of ScCuPb2, computed with PBE-GGA.

Values from the calculation:
The formation energy comes out at -0.03 eV/atom. Its density of states at the Fermi level is 0.596 states/eV per atom. The calculation puts the energy above the lowest structure with this stoichiometry at 46 meV per atom.

```
ScCuPb2
1.0
3.630 0.000 0.000
0.000 4.635 0.000
-1.786 0.000 5.672
Sc Cu Pb
1 1 2
Direct
0.000 0.000 0.000
0.148 0.500 0.303
0.436 0.500 0.869
0.724 0.000 0.458
```

=====

An optimized crystal structure of CsBeO2, computed with PBE-GGA.

Values from the calculation:
Its density of states at the Fermi level is 0.489 states/eV per atom. The calculation puts the energy above the lowest structure with this stoichiometry at 1033 meV per atom.

```
CsBeO2
1.0
1.599 0.923 6.710
-1.599 0.923 6.710
0.000 -1.847 6.710
Cs Be O
1 1 2
Direct
0.000 0.000 0.000
0.500 0.500 0.500
0.125 0.125 0.125
0.875 0.875 0.875
```

=====

An optimized crystal structure of PuMn2V, computed with PBE-GGA.

Values from the calculation:
The formation energy comes out at 0.16 eV/atom. Its density of states at the Fermi level is 1.592 states/eV per atom. The calculation puts the energy above the lowest structure with this stoichiometry at 169 meV per atom.

```
PuMn2V
1.0
0.000 3.101 3.101
3.101 0.000 3.101
3.101 3.101 0.000
Pu Mn V
1 2 1
Direct
0.000 0.000 0.000
0.250 0.250 0.250
0.750 0.750 0.750
0.500 0.500 0.500
```

=====

An optimized crystal structure of FePtW2N, computed with PBE-GGA.

Values from the calculation:
Its density of states at the Fermi level is 0.860 states/eV per atom. As for the total energy: -9.870 eV per atom.

```
FePtW2N
1.0
4.089 0.000 0.000
0.000 4.089 0.000
0.000 0.000 3.912
Fe Pt W N
1 1 2 1
Direct
0.000 0.000 0.000
0.500 0.500 0.000
0.000 0.500 0.500
0.500 0.000 0.500
0.000 0.000 0.500
```

=====

An optimized crystal structure of PaTiRe2, computed with PBE-GGA.

Values from the calculation:
The formation energy comes out at -0.07 eV/atom. Its density of states at the Fermi level is 1.245 states/eV per atom. The calculation puts the energy above the lowest structure with this stoichiometry at 67 meV per atom.

```
PaTiRe2
1.0
3.314 0.000 0.000
0.000 3.314 0.000
0.000 0.000 6.524
Pa Ti Re
1 1 2
Direct
0.000 0.000 0.000
0.000 0.000 0.500
0.500 0.500 0.266
0.500 0.500 0.734
```

=====

An optimized crystal structure of NaIn4Au5, computed with PBE-GGA.

Values from the calculation:
The formation energy comes out at -0.21 eV/atom. Its density of states at the Fermi level is 0.256 states/eV per atom.

```
NaIn4Au5
1.0
5.618 0.000 0.000
-0.364 6.239 0.000
-1.434 -3.078 6.336
Na In Au
1 4 5
Direct
0.000 0.000 0.000
0.426 0.735 0.631
0.532 0.333 0.183
0.726 0.422 0.834
0.880 0.974 0.442
0.099 0.560 0.210
0.209 0.356 0.805
0.387 0.076 0.449
0.507 0.837 0.059
0.904 0.583 0.560
```

=====

An optimized crystal structure of LuNbC, computed with PBE-GGA.

Values from the calculation:
The formation energy comes out at -0.31 eV/atom. Its density of states at the Fermi level is 0.691 states/eV per atom.

```
LuNbC
1.0
3.280 0.000 0.000
-1.640 2.840 0.000
0.000 0.000 5.379
Lu Nb C
1 1 1
Direct
0.000 0.000 0.000
0.333 0.667 0.482
0.667 0.333 0.279
```